# ZnNiSe2O8

ZnNiSe2O8 after structural relaxation (GGA+U, Alexandria).

Properties
Final energy: -57.365 eV per formula unit
Symmetry: I-4m2 (119)
Spin magnetization: 2.00 μB per formula unit
Crystal system: tetragonal

Unit cell a=5.7610 b=5.7610 c=5.7610 alpha=105.98 beta=105.98 gamma=116.70
With the nearest neighbours (Å) after each atom.
Sites, in units of the cell vectors:
Zn: 0.0000 0.0000 0.0000  8 O 2.23-2.32
Ni: 0.7500 0.2500 0.5000  8 O 2.23-2.32
Se: 0.2500 0.7500 0.5000  4 O 1.68
Se: 0.5000 0.5000 0.0000  4 O 1.68
O: 0.0700 0.3855 0.3155  1 Se 1.68
O: 0.0700 0.7546 0.6845  1 Se 1.68
O: 0.1351 0.3193 0.8158  1 Se 1.68
O: 0.2454 0.9300 0.3155  1 Se 1.68
O: 0.5036 0.3193 0.1842  1 Se 1.68
O: 0.6145 0.9300 0.6845  1 Se 1.68
O: 0.6807 0.4964 0.8158  1 Se 1.68
O: 0.6807 0.8649 0.1842  1 Se 1.68